The following is a DFT calculation (PBEsol) of a relaxed structure of CrCu2NiS.

Output
Its total energy is -25.99 eV/cell. The value obtained for the formation energy without anion corrections is 692 meV/atom. The calculation puts the size of the total moment at 4.34 μB/f.u.

Cell lengths 4.401, 4.401, 4.009 Å; angles 90.00, 90.00, 90.00 degrees
Space group P4/mmm (No. 123)
Inequivalent atoms, fractional coordinates:
Cr (0.000, 0.000, 0.000) [1 per cell]
Cu (0.000, 0.500, 0.500) [2 per cell]
Ni (0.500, 0.500, 0.500) [1 per cell]
S (0.500, 0.500, 0.000) [1 per cell]